(1)
Entry from Alexandria: crystalline KIn2Te at its relaxed geometry (PBE).

abc: 4.7957 5.5939 5.2754
angles: 90.00 98.02 90.00
Fractional coordinates of all 4 atoms:
K 0.0000 0.0000 0.0000
In 0.2865 0.5000 0.7169
In 0.7135 0.5000 0.2831
Te 0.5000 0.0000 0.5000

Summary:
spin magnetization = 0.0 μB/cell
E = -2.732 eV per atom
space-group type = P2/m, No. 10
ΔE_f (raw) = -303 meV per atom

=====

(2)
Entry from Alexandria: crystalline CePaPd at its relaxed geometry (PBE).

abc: 5.0245 5.0245 2.8713
angles: 90.00 90.00 120.00
Fractional coordinates of all 3 atoms:
Ce 0.0000 0.0000 0.0000
Pa 0.6667 0.3333 0.0000
Pd 0.3333 0.6667 0.5000

Summary:
energy of formation from the pure elements = -0.188 eV/atom
energy above the most stable polymorph in this dataset = 11.0 kJ/mol of atoms
spin magnetization = 0.0 μB/cell
E = -7.062 eV per atom
space-group type = P-6m2, No. 187

=====

(3)
Entry from Alexandria: crystalline TbY4Al5 at its relaxed geometry (PBE).

abc: 3.6004 3.6004 18.1175
angles: 90.00 90.00 90.00
Fractional coordinates of all 10 atoms:
Tb 0.0000 0.0000 0.0000
Y 0.0000 0.0000 0.2002
Y 0.0000 0.0000 0.4000
Y 0.0000 0.0000 0.6000
Y 0.0000 0.0000 0.7998
Al 0.5000 0.5000 0.1005
Al 0.5000 0.5000 0.3000
Al 0.5000 0.5000 0.5000
Al 0.5000 0.5000 0.7000
Al 0.5000 0.5000 0.8995

Summary:
energy of formation from the pure elements = -0.413 eV/atom
spin magnetization = 0.0 μB/cell
E = -5.332 eV per atom
space-group type = P4/mmm, No. 123